Here is a relaxed structure of NiAu2BrF from the Alexandria database. Energies are from GGA+U.

The structure belongs to space group P4/mmm (No. 123); the cell edges are 5.112, 5.112 and 4.777 Å and the angles 90.00°, 90.00° and 90.00°. The distinct sites, in fractional coordinates, are Ni at (0.000, 0.000, 0.000), Au at (0.000, 0.500, 0.500), Br at (0.000, 0.000, 0.500) and F at (0.500, 0.500, 0.000).

Its raw total energy is -1.955 eV per atom. The density of states at the Fermi level is 1.44 states/eV per cell.